Below is an optimized crystal structure of MnCuBiF2, with properties calculated at the PBE with a Hubbard U level.

Geometry as CIF:
```
data_MnCuBiF2
_cell_length_a 3.9504
_cell_length_b 3.9504
_cell_length_c 6.5130
_cell_angle_alpha 90.00
_cell_angle_beta 90.00
_cell_angle_gamma 90.00
_symmetry_space_group_name_H-M 'P 4/m m m'
_symmetry_Int_Tables_number 123
_symmetry_space_group_name_Hall '-P 4 2'
loop_
_atom_site_label
_atom_site_type_symbol
_atom_site_fract_x
_atom_site_fract_y
_atom_site_fract_z
_atom_site_occupancy
Mn1 Mn 0.0000 0.0000 0.0000 1
Cu1 Cu 0.0000 0.0000 0.5000 1
Bi1 Bi 0.5000 0.5000 0.5000 1
F1 F 0.0000 0.5000 0.0000 1
```

Properties
- DFT total energy (eV per cell) = -24.86
- magnetization (μB per formula unit) = 4.61
- Fermi-level density of states (states/eV per cell) = 2.91